First-principles (GGA-PBE) data for an optimized crystal structure of Tb2Sm4Er, as listed in Alexandria via LeMat-Bulk.

a = 3.7712 Å, b = 13.7702 Å, c = 18.4136 Å
α = 90.00°, β = 90.00°, γ = 90.00°
Element x y z (fractional)
Tb 0.5012 0.8705 0.6536
Sm 0.5006 0.3120 0.0526
Er 0.0000 0.0000 0.5000
Sm 0.4994 0.6880 0.9474
Tb 0.4988 0.1295 0.3464
Tb 0.0012 0.8705 0.8464
Sm 0.4994 0.8120 0.4474
Sm 0.9983 0.5837 0.8212
Sm 0.9983 0.9163 0.3212
Sm 0.5017 0.4163 0.3212
Sm 0.0006 0.3120 0.4474
Tb 0.9988 0.3705 0.6536
Er 0.0000 0.5000 0.0000
Er 0.5000 0.0000 0.0000
Tb 0.4988 0.3705 0.8464
Er 0.5000 0.5000 0.5000
Sm 0.9994 0.8120 0.0526
Sm 0.5006 0.1880 0.5526
Sm 0.9994 0.6880 0.5526
Sm 0.0006 0.1880 0.9474
Sm 0.5017 0.0837 0.8212
Sm 0.4983 0.9163 0.1788
Tb 0.0012 0.6295 0.3464
Sm 0.0017 0.0837 0.6788
Sm 0.4983 0.5837 0.6788
Sm 0.0017 0.4163 0.1788
Tb 0.5012 0.6295 0.1536
Tb 0.9988 0.1295 0.1536

Computed properties:
Spin magnetization ... 0.0 μB per cell
DFT total energy ... -4.444 eV per atom